Entry 1:
Here is a relaxed structure of BaBI2 from Alexandria via LeMat-Bulk. Energies are from PBE.

M_tot: 1.00 μB per formula unit
V: 175 Å³/f.u.
energy above the lowest structure with this stoichiometry: 96 meV per atom
electronic total energy: -2.7376 eV per atom
raw formation energy: 0.19 eV per atom

a = 5.979 Å, b = 5.979 Å, c = 19.589 Å
α = 90.00°, β = 90.00°, γ = 90.00°
Element x y z (fractional)
Ba 0.000 0.000 0.000
Ba 0.000 0.500 0.250
Ba 0.500 0.000 0.750
Ba 0.500 0.500 0.500
B 0.000 0.000 0.500
B 0.000 0.500 0.750
B 0.500 0.000 0.250
B 0.500 0.500 0.000
I 0.203 0.250 0.625
I 0.250 0.703 0.875
I 0.250 0.797 0.375
I 0.297 0.250 0.125
I 0.703 0.750 0.125
I 0.750 0.203 0.375
I 0.750 0.297 0.875
I 0.797 0.750 0.625

---

Entry 2:
Here is a relaxed structure of Ba3BI from Alexandria via LeMat-Bulk. Energies are from PBE.

M_tot: 0.00 μB per formula unit
V: 220 Å³/f.u.
energy above the lowest structure with this stoichiometry: 0 meV per atom
electronic total energy: -2.8637 eV per atom
raw formation energy: -0.06 eV per atom

a = 6.034 Å, b = 6.034 Å, c = 6.034 Å
α = 90.00°, β = 90.00°, γ = 90.00°
Element x y z (fractional)
Ba 0.000 0.000 0.500
Ba 0.000 0.500 0.000
Ba 0.500 0.000 0.000
B 0.000 0.000 0.000
I 0.500 0.500 0.500

---

Entry 3:
Here is a relaxed structure of BaB3I from Alexandria via LeMat-Bulk. Energies are from PBE.

M_tot: 0.00 μB per formula unit
V: 166 Å³/f.u.
energy above the lowest structure with this stoichiometry: 715 meV per atom
electronic total energy: -2.0529 eV per atom
raw formation energy: 2.65 eV per atom

a = 5.493 Å, b = 5.493 Å, c = 5.493 Å
α = 90.00°, β = 90.00°, γ = 90.00°
Element x y z (fractional)
Ba 0.000 0.000 0.000
B 0.000 0.000 0.500
B 0.000 0.500 0.000
B 0.500 0.000 0.000
I 0.500 0.500 0.500

---

Entry 4:
Here is a relaxed structure of BaBI2 from Alexandria via LeMat-Bulk. Energies are from PBE.

M_tot: 1.00 μB per formula unit
V: 142 Å³/f.u.
energy above the lowest structure with this stoichiometry: 0 meV per atom
electronic total energy: -2.8337 eV per atom
raw formation energy: 0.09 eV per atom

a = 8.286 Å, b = 8.286 Å, c = 8.286 Å
α = 90.00°, β = 90.00°, γ = 90.00°
Element x y z (fractional)
Ba 0.000 0.000 0.000
Ba 0.000 0.500 0.500
Ba 0.500 0.000 0.500
Ba 0.500 0.500 0.000
B 0.000 0.000 0.500
B 0.000 0.500 0.000
B 0.500 0.000 0.000
B 0.500 0.500 0.500
I 0.250 0.250 0.250
I 0.250 0.250 0.750
I 0.250 0.750 0.250
I 0.250 0.750 0.750
I 0.750 0.250 0.250
I 0.750 0.250 0.750
I 0.750 0.750 0.250
I 0.750 0.750 0.750